A relaxed DyThPa2C4 crystal, computed with GGA-PBE.

Structure (CIF):
```
data_DyThPa2C4
_chemical_formula_sum 'Dy1 Th1 Pa2 C4'
_cell_length_a 6.3123
_cell_length_b 3.6619
_cell_length_c 6.3391
_cell_angle_alpha 90.00
_cell_angle_beta 109.68
_cell_angle_gamma 90.00
_space_group_name_H-M_alt 'P 1 2/m 1'
_space_group_IT_number 10
loop_
_space_group_symop_operation_xyz
'x,y,z'
'-x,-y,-z'
'-x,y,-z'
'x,-y,z'
loop_
_atom_site_label
_atom_site_type_symbol
_atom_site_fract_x
_atom_site_fract_y
_atom_site_fract_z
Dy1 Dy 0.0000 0.0000 0.0000
Th1 Th 0.0000 0.5000 0.5000
Pa1 Pa 0.5000 0.0000 0.5000
Pa2 Pa 0.5000 0.5000 0.0000
C1 C 0.2749 0.0000 0.7591
C2 C 0.2749 0.5000 0.2593
```

E_tot	-8.88	eV per atom
size of the total moment	0.0	μB per cell
energy of formation	-0.389	eV per atom